No. 1
Below is a geometry-optimized Pr3AlB2Rh9 structure, with properties calculated at the PBE level.

abc: 6.1676 6.1676 7.6317
angles: 90.00 90.00 120.00
With the nearest neighbours (Å) after each atom.
Atoms (fractional coordinates):
Pr: 0.3333 0.6667 0.6610  12 Rh 3.09-3.14
Pr: 0.0000 0.0000 0.0000  12 Rh 3.05-3.08
Pr: 0.6667 0.3333 0.3390  12 Rh 3.09-3.14
Al: 0.0000 0.0000 0.5000  6 Rh 2.38
B: 0.3333 0.6667 0.1477  6 Rh 2.09-2.11
B: 0.6667 0.3333 0.8523  6 Rh 2.09-2.11
Rh: 0.8223 0.1777 0.6873  1 B 2.09
Rh: 0.8223 0.6446 0.6873  1 B 2.09
Rh: 0.3554 0.1777 0.6873  1 B 2.09
Rh: 0.6446 0.8223 0.3127  1 B 2.09
Rh: 0.1777 0.3554 0.3127  1 B 2.09
Rh: 0.1777 0.8223 0.3127  1 B 2.09
Rh: 0.5000 0.0000 0.0000  2 B 2.11
Rh: 0.0000 0.5000 0.0000  2 B 2.11
Rh: 0.5000 0.5000 0.0000  2 B 2.11

Summary:
- energy of formation (kcal/mol of atoms) = -14.13
- calculated volume (Å³/cell) = 251.41
- N(E_F) (states/eV per atom) = 1.077
- space-group type = No. 164

---

No. 2
Below is a geometry-optimized Pr2AlB2Ru5 structure, with properties calculated at the PBE level.

abc: 3.1640 9.7702 9.7702
angles: 90.00 90.00 90.00
With the nearest neighbours (Å) after each atom.
Atoms (fractional coordinates):
Pr: 0.0000 0.6769 0.1769  3 B 2.77-2.97, 10 Ru 2.91-3.04
Pr: 0.0000 0.3231 0.8231  3 B 2.77-2.97, 10 Ru 2.91-3.04
Pr: 0.0000 0.1769 0.3231  3 B 2.77-2.97, 10 Ru 2.91-3.04
Pr: 0.0000 0.8231 0.6769  3 B 2.77-2.97, 10 Ru 2.91-3.04
Al: 0.0000 0.0000 0.0000  8 Ru 2.75
Al: 0.0000 0.5000 0.5000  8 Ru 2.75
B: 0.0000 0.1227 0.6227  6 Ru 2.27-2.32
B: 0.0000 0.8773 0.3773  6 Ru 2.27-2.32
B: 0.0000 0.6227 0.8773  6 Ru 2.27-2.32
B: 0.0000 0.3773 0.1227  6 Ru 2.27-2.32
Ru: 0.5000 0.2205 0.0682  2 B 2.27
Ru: 0.5000 0.7795 0.9318  2 B 2.27
Ru: 0.5000 0.0682 0.7795  2 B 2.27
Ru: 0.5000 0.7205 0.4318  2 B 2.27
Ru: 0.5000 0.9318 0.2205  2 B 2.27
Ru: 0.5000 0.2795 0.5682  2 B 2.27
Ru: 0.5000 0.5682 0.7205  2 B 2.27
Ru: 0.5000 0.4318 0.2795  2 B 2.27
Ru: 0.5000 0.5000 0.0000  4 B 2.32
Ru: 0.5000 0.0000 0.5000  4 B 2.32

Summary:
- energy of formation (kcal/mol of atoms) = -6.88
- calculated volume (Å³/cell) = 302.03
- N(E_F) (states/eV per atom) = 0.967
- space-group type = No. 127

---

No. 3
Below is a geometry-optimized AlB2Pt8 structure, with properties calculated at the PBE level.

abc: 4.2143 5.8959 7.3720
angles: 115.98 106.61 90.00
With the nearest neighbours (Å) after each atom.
Atoms (fractional coordinates):
Al: 0.5000 0.0000 0.0000  8 Pt 2.65-2.70
B: 0.8484 0.3645 0.6969  5 Pt 2.08-2.24
B: 0.1516 0.6355 0.3031  5 Pt 2.08-2.24
Pt: 0.3978 0.4905 0.7956  2 B 2.24
Pt: 0.6989 0.0465 0.3977  1 B 2.09
Pt: 0.8219 0.6836 0.6438  1 B 2.08
Pt: 0.9594 0.2139 0.9187  1 B 2.12
Pt: 0.1781 0.3164 0.3562  1 B 2.08
Pt: 0.3011 0.9535 0.6023  1 B 2.09
Pt: 0.6022 0.5095 0.2044  2 B 2.24
Pt: 0.0407 0.7861 0.0813  1 B 2.12

Summary:
- energy of formation (kcal/mol of atoms) = -7.18
- calculated volume (Å³/cell) = 156.12
- N(E_F) (states/eV per atom) = 0.527
- space-group type = No. 12

---

No. 4
Below is a geometry-optimized AlBPt3 structure, with properties calculated at the PBE level.

abc: 3.7301 5.4987 6.9138
angles: 78.85 90.00 90.00
With the nearest neighbours (Å) after each atom.
Atoms (fractional coordinates):
Al: 0.0154 0.5563 0.5629  7 Pt 2.56-2.85
Al: 0.5154 0.2112 0.8205  7 Pt 2.56-2.85
B: 0.5154 0.6568 0.0944  5 Pt 2.15-2.28
B: 0.0154 0.1107 0.2889  5 Pt 2.15-2.28
Pt: 0.5154 0.6908 0.7731  1 B 2.19
Pt: 0.5154 0.8247 0.3499  1 B 2.15
Pt: 0.0154 0.0767 0.6103  1 B 2.19
Pt: 0.0154 0.4404 0.0417  3 B 2.24-2.28
Pt: 0.0154 0.9428 0.0335  1 B 2.15
Pt: 0.5154 0.3271 0.3417  3 B 2.24-2.28

Summary:
- energy of formation (kcal/mol of atoms) = -13.16
- calculated volume (Å³/cell) = 139.13
- energy relative to the lowest polymorph listed for this composition (kJ/mol of formula units) = 0
- N(E_F) (states/eV per atom) = 0.173
- space-group type = No. 11

---

No. 5
Below is a geometry-optimized AlBPt2 structure, with properties calculated at the PBE level.

abc: 2.9450 2.9450 8.0538
angles: 79.47 79.47 60.00
With the nearest neighbours (Å) after each atom.
Atoms (fractional coordinates):
B: 0.5000 0.5000 0.5000  6 Pt 2.20
Al: 0.0000 0.0000 0.0000  2 Pt 2.54
Pt: 0.1075 0.1075 0.6774  3 B 2.20
Pt: 0.8925 0.8925 0.3226  3 B 2.20

Summary:
- energy of formation (kcal/mol of atoms) = -2.07
- calculated volume (Å³/cell) = 59.13
- N(E_F) (states/eV per atom) = 0.360
- space-group type = No. 166

---

No. 6
Below is a geometry-optimized AlBPt3 structure, with properties calculated at the PBE level.

abc: 4.1983 4.1983 4.1983
angles: 90.00 90.00 90.00
With the nearest neighbours (Å) after each atom.
Atoms (fractional coordinates):
B: 0.0000 0.0000 0.0000  6 Pt 2.10
Al: 0.5000 0.5000 0.5000  12 Pt 2.97
Pt: 0.0000 0.5000 0.0000  2 B 2.10
Pt: 0.0000 0.0000 0.5000  2 B 2.10
Pt: 0.5000 0.0000 0.0000  2 B 2.10

Summary:
- energy of formation (kcal/mol of atoms) = -5.93
- calculated volume (Å³/cell) = 74.00
- energy relative to the lowest polymorph listed for this composition (kJ/mol of formula units) = 151
- N(E_F) (states/eV per atom) = 0.458
- space-group type = No. 221

---

No. 7
Below is a geometry-optimized AlB2Pt2 structure, with properties calculated at the PBE level.

abc: 3.2141 3.2141 6.3622
angles: 75.37 75.37 90.00
With the nearest neighbours (Å) after each atom.
Atoms (fractional coordinates):
B: 0.7500 0.2500 0.5000  4 Pt 2.18, 4 B 2.27
B: 0.2500 0.7500 0.5000  4 Pt 2.18, 4 B 2.27
Al: 0.0000 0.0000 0.0000  8 Pt 2.72
Pt: 0.3737 0.3737 0.2527  4 B 2.18
Pt: 0.6263 0.6263 0.7473  4 B 2.18

Summary:
- energy of formation (kcal/mol of atoms) = -6.02
- calculated volume (Å³/cell) = 61.39
- energy relative to the lowest polymorph listed for this composition (kJ/mol of formula units) = 0
- N(E_F) (states/eV per atom) = 0.173
- space-group type = No. 139

---

No. 8
Below is a geometry-optimized AlBPt2 structure, with properties calculated at the PBE level.

abc: 5.3253 5.3253 6.1474
angles: 64.33 64.33 90.00
With the nearest neighbours (Å) after each atom.
Atoms (fractional coordinates):
B: 0.5000 0.5000 0.0000  4 Pt 2.05
B: 0.2500 0.7500 0.5000  4 Pt 2.05
Al: 0.0000 0.0000 0.0000  4 Pt 2.47
Al: 0.7500 0.2500 0.5000  4 Pt 2.47
Pt: 0.5589 0.1250 0.2500  2 B 2.05
Pt: 0.1911 0.6250 0.2500  2 B 2.05
Pt: 0.3750 0.4411 0.7500  2 B 2.05
Pt: 0.8750 0.8089 0.7500  2 B 2.05

Summary:
- energy of formation (kcal/mol of atoms) = -6.28
- calculated volume (Å³/cell) = 137.80
- N(E_F) (states/eV per atom) = 0.326
- space-group type = No. 122